1.
First-principles (PBE) data for crystalline K3SeF7 at its relaxed geometry, as listed in the Alexandria database.

**Space-group type**: P4/mbm, No. 127
**Raw total energy**: -0.1525 hartree per atom

abc: 8.091 8.091 5.868
angles: 90.00 90.00 90.00
Fractional positions:
K: 0.000 0.000 0.000
K: 0.190 0.310 0.500
K: 0.310 0.810 0.500
K: 0.500 0.500 0.000
K: 0.690 0.190 0.500
K: 0.810 0.690 0.500
Se: 0.000 0.500 0.000
Se: 0.500 0.000 0.000
F: 0.000 0.000 0.500
F: 0.117 0.617 0.245
F: 0.117 0.617 0.755
F: 0.171 0.329 0.000
F: 0.329 0.829 0.000
F: 0.383 0.117 0.245
F: 0.383 0.117 0.755
F: 0.500 0.500 0.500
F: 0.617 0.883 0.245
F: 0.617 0.883 0.755
F: 0.671 0.171 0.000
F: 0.829 0.671 0.000
F: 0.883 0.383 0.245
F: 0.883 0.383 0.755


2.
First-principles (PBE) data for crystalline Nd2SmSn9 at its relaxed geometry, as listed in the Alexandria database.

**Space-group type**: P4/mmm, No. 123
**Energy relative to the elements**: -5.87 eV/f.u.
**Raw total energy**: -0.1720 hartree per atom

abc: 4.744 4.744 14.445
angles: 90.00 90.00 90.00
Fractional positions:
Nd: 0.000 0.000 0.168
Nd: 0.000 0.000 0.832
Sm: 0.000 0.000 0.500
Sn: 0.000 0.500 0.000
Sn: 0.000 0.500 0.335
Sn: 0.000 0.500 0.665
Sn: 0.500 0.000 0.000
Sn: 0.500 0.000 0.335
Sn: 0.500 0.000 0.665
Sn: 0.500 0.500 0.168
Sn: 0.500 0.500 0.500
Sn: 0.500 0.500 0.832


3.
First-principles (PBE) data for crystalline Mo7S8 at its relaxed geometry, as listed in the Alexandria database.

**Space-group type**: P1, No. 1
**Raw total energy**: -0.2881 hartree per atom

abc: 6.484 6.523 13.054
angles: 94.59 95.61 98.50
Fractional positions:
Mo: 0.000 0.000 0.000
Mo: 0.006 0.474 0.745
Mo: 0.044 0.960 0.495
Mo: 0.186 0.145 0.832
Mo: 0.230 0.108 0.334
Mo: 0.238 0.385 0.020
Mo: 0.307 0.351 0.525
Mo: 0.314 0.823 0.929
Mo: 0.361 0.785 0.427
Mo: 0.382 0.063 0.116
Mo: 0.425 0.027 0.614
Mo: 0.560 0.206 0.950
Mo: 0.616 0.162 0.450
Mo: 0.781 0.398 0.278
S: 0.009 0.741 0.329
S: 0.060 0.228 0.163
S: 0.104 0.185 0.649
S: 0.147 0.734 0.087
S: 0.189 0.694 0.593
S: 0.410 0.484 0.860
S: 0.465 0.439 0.359
S: 0.498 0.973 0.795
S: 0.532 0.943 0.287
S: 0.590 0.417 0.113
S: 0.641 0.899 0.038
S: 0.665 0.363 0.626
S: 0.684 0.849 0.538
S: 0.917 0.329 0.903
S: 0.965 0.811 0.826
S: 0.981 0.290 0.420